# BeGe2Os (PBE-GGA, relaxed)
data_BeGe2Os
_chemical_formula_sum 'Be2 Ge4 Os2'
_cell_length_a 6.352
_cell_length_b 6.352
_cell_length_c 6.352
_cell_angle_alpha 126.80
_cell_angle_beta 126.80
_cell_angle_gamma 78.58
_symmetry_space_group_name_H-M 'P 1'
_symmetry_Int_Tables_number 1
_symmetry_space_group_name_Hall 'P 1'
loop_
_atom_site_label
_atom_site_fract_x
_atom_site_fract_y
_atom_site_fract_z
Be1 0.000 0.000 0.000
Be2 0.750 0.250 0.500
Ge1 0.115 0.625 0.990
Ge2 0.375 0.365 0.490
Ge3 0.635 0.125 0.010
Ge4 0.875 0.885 0.510
Os1 0.250 0.750 0.500
Os2 0.500 0.500 0.000
# energy of formation: 0.782 eV per atom
# total magnetic moment: 0.00 μB/cell
# calculated volume: 159 Å³/cell
# VASP energy: -5.27 eV/atom
# space group: I-42d (122)

# ReSbTe2I (PBE-GGA, relaxed)
data_ReSbTe2I
_chemical_formula_sum 'Re1 Sb1 Te2 I1'
_cell_length_a 5.231
_cell_length_b 5.231
_cell_length_c 5.417
_cell_angle_alpha 90.00
_cell_angle_beta 90.00
_cell_angle_gamma 90.00
_symmetry_space_group_name_H-M 'P 1'
_symmetry_Int_Tables_number 1
_symmetry_space_group_name_Hall 'P 1'
loop_
_atom_site_label
_atom_site_fract_x
_atom_site_fract_y
_atom_site_fract_z
Re1 0.000 0.000 0.000
Sb1 0.000 0.000 0.500
Te1 0.000 0.500 0.000
Te2 0.500 0.000 0.000
I1 0.500 0.500 0.500
# E_form (uncorrected): 2.637 eV/f.u.
# total magnetic moment: 0.00 μB/cell
# calculated volume: 148 Å³/cell
# relative energy among the computed polymorphs: 0.0 meV/atom
# VASP energy: -4.35 eV/atom
# space group: P4/mmm (123)

# HfV3Pt (PBE-GGA, relaxed)
data_HfV3Pt
_chemical_formula_sum 'Hf1 V3 Pt1'
_cell_length_a 4.583
_cell_length_b 4.583
_cell_length_c 4.583
_cell_angle_alpha 90.00
_cell_angle_beta 90.00
_cell_angle_gamma 90.00
_symmetry_space_group_name_H-M 'P 1'
_symmetry_Int_Tables_number 1
_symmetry_space_group_name_Hall 'P 1'
loop_
_atom_site_label
_atom_site_fract_x
_atom_site_fract_y
_atom_site_fract_z
Hf1 0.000 0.000 0.000
V1 0.000 0.000 0.500
V2 0.000 0.500 0.000
V3 0.500 0.000 0.000
Pt1 0.500 0.500 0.500
# energy of formation: 1.612 eV per atom
# total magnetic moment: 3.86 μB/cell
# calculated volume: 96 Å³/cell
# relative energy among the computed polymorphs: 714.1 meV/atom
# VASP energy: -7.06 eV/atom
# space group: Pm-3m (221)